TiCrCuS4 | meta-GGA SCAN | single point on PBEsol structure

a = 12.5910 Å, b = 3.3842 Å, c = 5.8011 Å
α = 90.00°, β = 116.78°, γ = 90.00°
With the nearest neighbours (Å) after each atom.
Space group Cm (No. 8)
Inequivalent atoms, fractional coordinates:
Ti: 0.0000 0.0000 0.0000 [2 per cell]  6 S 2.35-2.49
Cr: 0.4904 0.0000 0.4379 [2 per cell]  6 S 2.36-2.39
Cu: 0.2475 0.5000 0.7172 [2 per cell]  6 S 2.36-2.46
S: 0.1090 0.0000 0.7335 [2 per cell]  2 Cr 2.39, 2 Cu 2.46, 1 Ti 2.49
S: 0.1285 0.5000 0.2647 [2 per cell]  1 Cu 2.36, 2 Ti 2.37, 1 Cr 2.37
S: 0.3636 0.5000 0.1733 [2 per cell]  1 Ti 2.35, 2 Cr 2.36, 1 Cu 2.38
S: 0.3798 0.0000 0.6783 [2 per cell]  1 Cr 2.37, 2 Cu 2.45, 2 Ti 2.47

Values from the calculation:
ΔE_f (raw), eV per atom: -1.066
Size of the total moment, μB/cell: 6.01

***

ZnOsSCl2 | meta-GGA SCAN | single point on PBEsol structure

a = 4.8424 Å, b = 4.8424 Å, c = 4.4028 Å
α = 90.00°, β = 90.00°, γ = 90.00°
With the nearest neighbours (Å) after each atom.
Space group P4/mmm (No. 123)
Inequivalent atoms, fractional coordinates:
Zn: 0.0000 0.0000 0.0000 [1 per cell]  8 Cl 3.27, 4 S 3.42
Os: 0.5000 0.5000 0.5000 [1 per cell]  2 S 2.20, 4 Cl 2.42
S: 0.5000 0.5000 0.0000 [1 per cell]  2 Os 2.20
Cl: 0.0000 0.5000 0.5000 [2 per cell]  2 Os 2.42

Values from the calculation:
ΔE_f (raw), eV per atom: 0.254
Size of the total moment, μB/cell: 0.00

***

ZnMoRh2 | meta-GGA SCAN | single point on PBEsol structure

a = 3.8690 Å, b = 3.8690 Å, c = 7.3343 Å
α = 90.00°, β = 90.00°, γ = 90.00°
With the nearest neighbours (Å) after each atom.
Space group I4/mmm (No. 139)
Inequivalent atoms, fractional coordinates:
Zn: 0.0000 0.0000 0.0000 [2 per cell]  8 Rh 2.67, 4 Mo 2.74
Mo: 0.0000 0.0000 0.5000 [2 per cell]  8 Rh 2.67, 4 Zn 2.74
Rh: 0.0000 0.5000 0.2500 [4 per cell]  4 Mo 2.67, 4 Zn 2.67, 4 Rh 2.74

Values from the calculation:
Formation energy, eV per formula unit: -1.05
Size of the total moment, μB/cell: 0.00

***

Zr2TlIn | meta-GGA SCAN | single point on PBEsol structure

a = 3.1395 Å, b = 4.3427 Å, c = 6.2883 Å
α = 90.00°, β = 90.00°, γ = 90.00°
With the nearest neighbours (Å) after each atom.
Space group Pmmm (No. 47)
Inequivalent atoms, fractional coordinates:
Zr: 0.0000 0.0000 0.2483 [2 per cell]  4 In 3.10, 4 Tl 3.11, 4 Zr 3.12-3.17
Tl: 0.5000 0.5000 0.5000 [1 per cell]  8 Zr 3.11, 2 Tl 3.14, 2 In 3.14
In: 0.5000 0.5000 0.0000 [1 per cell]  8 Zr 3.10, 2 In 3.14, 2 Tl 3.14

Values from the calculation:
Formation energy, eV per formula unit: -1.47
Size of the total moment, μB/cell: 0.00

***

ErRh3C | meta-GGA SCAN | single point on PBEsol structure

a = 4.1040 Å, b = 4.1040 Å, c = 4.1040 Å
α = 90.00°, β = 90.00°, γ = 90.00°
With the nearest neighbours (Å) after each atom.
Space group Pm-3m (No. 221)
Inequivalent atoms, fractional coordinates:
Er: 0.0000 0.0000 0.0000 [1 per cell]  12 Rh 2.90
Rh: 0.0000 0.5000 0.5000 [3 per cell]  2 C 2.05
C: 0.5000 0.5000 0.5000 [1 per cell]  6 Rh 2.05

Values from the calculation:
Formation energy, eV per formula unit: -3.05
Size of the total moment, μB/cell: 0.00

***

Y2NiBr | meta-GGA SCAN | single point on PBEsol structure

a = 3.8631 Å, b = 3.8631 Å, c = 22.0593 Å
α = 90.00°, β = 90.00°, γ = 120.00°
With the nearest neighbours (Å) after each atom.
Space group R-3m (No. 166, hexagonal axes)
Inequivalent atoms, fractional coordinates:
Y: 0.0000 0.0000 0.2326 [6 per cell]  3 Ni 2.66
Ni: 0.0000 0.0000 0.5000 [3 per cell]  6 Y 2.66
Br: 0.0000 0.0000 0.0000 [3 per cell]  6 Y 3.15

Values from the calculation:
ΔE_f (raw), eV per atom: -0.923
Size of the total moment, μB/cell: 0.91

***

AlCo2P | meta-GGA SCAN | single point on PBEsol structure

a = 4.0385 Å, b = 2.6790 Å, c = 8.3949 Å
α = 90.00°, β = 90.00°, γ = 90.00°
With the nearest neighbours (Å) after each atom.
Space group Amm2 (No. 38)
Inequivalent atoms, fractional coordinates:
Al: 0.0000 0.0000 0.0000 [2 per cell]  3 Co 2.23-2.38
Co: 0.0000 0.0000 0.2652 [2 per cell]  2 P 2.15, 3 Al 2.23-2.38
Co: 0.5000 0.0000 0.6328 [2 per cell]  3 P 2.29-2.34
P: 0.5000 0.0000 0.3546 [2 per cell]  5 Co 2.15-2.34

Values from the calculation:
Formation energy, eV per formula unit: -0.96
Size of the total moment, μB/cell: 1.78

***

KCoF2 | meta-GGA SCAN | single point on PBEsol structure

a = 3.4599 Å, b = 3.4599 Å, c = 19.3234 Å
α = 90.00°, β = 90.00°, γ = 120.00°
With the nearest neighbours (Å) after each atom.
Space group R-3m (No. 166, hexagonal axes)
Inequivalent atoms, fractional coordinates:
K: 0.0000 0.0000 0.0000 [3 per cell]  2 F 2.40
Co: 0.0000 0.0000 0.5000 [3 per cell]  6 F 2.16
F: 0.0000 0.0000 0.1242 [6 per cell]  3 Co 2.16, 1 K 2.40

Values from the calculation:
ΔE_f (raw), eV per atom: -1.615
Size of the total moment, μB/cell: 6.71